1.
This record from Alexandria via LeMat-Bulk describes a relaxed Mg2AgGe crystal. The functional is GGA-PBE.

Geometry as POSCAR:
```
Mg2AgGe
1.0
3.175 0.000 0.000
-1.588 2.750 0.000
0.000 0.000 26.739
Mg Ag Ge
6 3 3
Cartesian
0.000 0.000 6.685
0.000 0.000 20.054
0.000 1.833 11.141
0.000 1.833 24.512
1.588 0.917 2.228
1.588 0.917 15.598
0.000 0.000 0.000
0.000 1.833 17.826
1.588 0.917 8.913
0.000 0.000 13.370
0.000 1.833 4.457
1.588 0.917 22.283
```

Properties
SG: R-3m
Spin magnetization, μB/f.u.: 0.000

2.
This record from Alexandria via LeMat-Bulk describes a relaxed ErNb5Ru6 crystal. The functional is GGA-PBE.

Geometry as POSCAR:
```
ErNb5Ru6
1.0
2.216 -6.661 0.000
2.216 6.661 0.000
0.000 0.000 6.783
Er Nb Ru
1 5 6
Cartesian
0.000 0.000 0.000
0.000 0.000 3.392
2.216 2.382 0.000
2.216 2.205 3.392
2.216 -2.205 3.392
2.216 -2.382 0.000
2.216 4.394 1.857
2.216 4.394 4.926
2.216 0.000 1.809
2.216 0.000 4.975
2.216 -4.394 1.857
2.216 -4.394 4.926
```

Properties
SG: Cmmm
Spin magnetization, μB/f.u.: 0.000

3.
This record from Alexandria via LeMat-Bulk describes a relaxed Mn2VZnH crystal. The functional is GGA-PBE.

Geometry as POSCAR:
```
Mn2VZnH
1.0
3.795 0.000 0.000
0.000 3.795 0.000
0.000 0.000 3.658
Mn V Zn H
2 1 1 1
Cartesian
0.000 1.897 0.000
1.897 0.000 0.000
0.000 0.000 1.829
1.897 1.897 1.829
0.000 0.000 0.000
```

Properties
SG: P4/mmm
Spin magnetization, μB/f.u.: 2.732

| no. | total DFT energy (no corrections) (eV per atom) |
| --- | --- |
| 1 | -2.744 |
| 2 | -9.462 |
| 3 | -6.443 |